(1)
Below is crystalline CeI2Br2 at its relaxed geometry, with properties calculated at the PBE level.

Output
Fermi-level density of states in states/eV/f.u.: 4.241
ΔE_f (raw) in eV/f.u.: -6.2
Space group: I4_1/amd
Raw total energy in eV/atom: -3.7174

a b c (Å): 5.058 5.058 15.974
angles (deg): 99.11 99.11 90.00
Each line ends with the local moment (μB).
Atoms (fractional coordinates):
Br: 0.548 0.048 0.097  -0.03
Br: 0.798 0.798 0.597  -0.03
Br: 0.202 0.202 0.403  -0.03
Br: 0.952 0.452 0.903  -0.03
Ce: 0.500 0.500 0.000  0.36
Ce: 0.250 0.750 0.500  0.36
I: 0.067 0.567 0.133  -0.04
I: 0.433 0.933 0.867  -0.04
I: 0.317 0.317 0.633  -0.04
I: 0.683 0.683 0.367  -0.04


(2)
Below is crystalline In5SbPb6 at its relaxed geometry, with properties calculated at the PBE level.

Output
Fermi-level density of states in states/eV/f.u.: 5.412
ΔE_f (raw) in eV/f.u.: 0.3
Space group: C2/m
Raw total energy in eV/atom: -3.3115

a b c (Å): 4.851 9.637 9.363
angles (deg): 120.97 105.63 90.01
Atoms (fractional coordinates):
Pb: 0.500 0.752 0.000
Pb: 0.166 0.919 0.333
Pb: 0.166 0.413 0.333
Pb: 0.500 0.248 0.000
Pb: 0.834 0.081 0.667
Pb: 0.834 0.587 0.667
In: 0.000 0.500 0.000
In: 0.334 0.336 0.672
In: 0.330 0.830 0.660
In: 0.670 0.170 0.340
In: 0.666 0.664 0.328
Sb: 0.000 0.000 0.000


(3)
Below is crystalline Os2SeCl at its relaxed geometry, with properties calculated at the PBE level.

Output
Fermi-level density of states in states/eV/f.u.: 4.909
ΔE_f (raw) in eV/f.u.: 4.8
Space group: Pmmm
Raw total energy in eV/atom: -5.7487
ΔE to the lowest computed polymorph in eV/atom: 0.975

a b c (Å): 2.844 5.254 4.279
angles (deg): 90.00 90.00 90.00
Atoms (fractional coordinates):
Os: 0.000 0.000 0.000
Os: 0.500 0.500 0.000
Se: 0.500 0.000 0.500
Cl: 0.000 0.500 0.500


(4)
Below is crystalline NaPr2Ag at its relaxed geometry, with properties calculated at the PBE level.

Output
Fermi-level density of states in states/eV/f.u.: 4.240
Space group: R-3m
Energy relative to the elements in eV per formula unit: 0.54
Raw total energy in eV/atom: -3.2974
ΔE to the lowest computed polymorph in eV/atom: 0.120

a b c (Å): 3.545 3.545 12.290
angles (deg): 81.71 81.71 60.00
Atoms (fractional coordinates):
Ag: 0.500 0.500 0.500
Pr: 0.099 0.099 0.704
Pr: 0.901 0.901 0.296
Na: 0.000 0.000 0.000


(5)
Below is crystalline La2TaB at its relaxed geometry, with properties calculated at the PBE level.

Output
Fermi-level density of states in states/eV/f.u.: 4.168
Space group: I-42d
Energy relative to the elements in eV per formula unit: 1.73
Raw total energy in eV/atom: -6.6626

a b c (Å): 9.990 9.990 7.399
angles (deg): 47.54 47.54 90.00
Atoms (fractional coordinates):
La: 0.875 0.719 0.750
La: 0.375 0.531 0.750
La: 0.281 0.625 0.250
La: 0.469 0.125 0.250
Ta: 0.000 0.000 0.000
Ta: 0.750 0.250 0.500
B: 0.250 0.750 0.500
B: 0.500 0.500 0.000


(6)
Below is crystalline MnFePS2 at its relaxed geometry, with properties calculated at the PBE level.

Output
Fermi-level density of states in states/eV/f.u.: 9.272
ΔE_f (raw) in eV/f.u.: 6.7
Space group: P4/mmm
Raw total energy in eV/atom: -4.9189
ΔE to the lowest computed polymorph in eV/atom: 0.716

a b c (Å): 4.506 4.150 4.506
angles (deg): 90.00 90.00 90.00
Each line ends with the local moment (μB).
Atoms (fractional coordinates):
Mn: 0.000 0.500 0.000  0.01
S: 0.000 0.000 0.500  0.04
S: 0.500 0.000 0.000  0.06
P: 0.000 0.000 0.000  0.01
Fe: 0.500 0.500 0.500  -0.13


(7)
Below is crystalline Ho7Bi2Au2 at its relaxed geometry, with properties calculated at the PBE level.

Output
Fermi-level density of states in states/eV/f.u.: 8.521
Space group: Cmmm
Energy relative to the elements in eV per formula unit: -4.38
Raw total energy in eV/atom: -4.6129

a b c (Å): 7.076 6.991 7.076
angles (deg): 90.00 100.53 90.00
Atoms (fractional coordinates):
Ho: 0.500 0.751 0.000
Ho: 0.500 0.761 0.500
Ho: 0.000 0.751 0.500
Ho: 0.000 0.249 0.500
Ho: 0.500 0.249 0.000
Ho: 0.000 0.000 0.000
Ho: 0.500 0.239 0.500
Bi: 0.197 0.500 0.197
Bi: 0.803 0.500 0.803
Au: 0.721 0.000 0.279
Au: 0.279 0.000 0.721


(8)
Below is crystalline ScTe2Rh at its relaxed geometry, with properties calculated at the PBE level.

Output
Fermi-level density of states in states/eV/f.u.: 3.453
ΔE_f (raw) in eV/f.u.: -1.9
Space group: P2/m
Raw total energy in eV/atom: -5.4586
ΔE to the lowest computed polymorph in eV/atom: 0.301

a b c (Å): 3.629 3.812 7.106
angles (deg): 71.30 90.00 90.00
Atoms (fractional coordinates):
Te: 0.000 0.157 0.999
Te: 0.000 0.343 0.501
Rh: 0.500 0.250 0.250
Sc: 0.500 0.750 0.750


(9)
Below is crystalline Zr2AlAu2 at its relaxed geometry, with properties calculated at the PBE level.

Output
Fermi-level density of states in states/eV/f.u.: 3.380
Space group: P4/mbm
Energy relative to the elements in eV per formula unit: -1.13
Raw total energy in eV/atom: -5.7054
ΔE to the lowest computed polymorph in eV/atom: 0.262

a b c (Å): 7.791 7.791 3.485
angles (deg): 90.00 90.00 90.00
Atoms (fractional coordinates):
Au: 0.631 0.869 0.500
Au: 0.869 0.369 0.500
Au: 0.131 0.631 0.500
Au: 0.369 0.131 0.500
Al: 0.500 0.500 0.000
Al: 0.000 0.000 0.000
Zr: 0.168 0.332 0.000
Zr: 0.668 0.168 0.000
Zr: 0.832 0.668 0.000
Zr: 0.332 0.832 0.000


(10)
Below is crystalline MnAl2MoAu at its relaxed geometry, with properties calculated at the PBE level.

Output
Fermi-level density of states in states/eV/f.u.: 3.815
Space group: P4/mmm
Energy relative to the elements in eV per formula unit: 5.31
Raw total energy in eV/atom: -5.0915

a b c (Å): 4.657 4.866 4.657
angles (deg): 90.00 90.00 90.00
Each line ends with the local moment (μB).
Atoms (fractional coordinates):
Al: 0.500 0.000 0.000  -0.02
Al: 0.000 0.000 0.500  -0.04
Mn: 0.000 0.500 0.000  3.76
Mo: 0.500 0.500 0.500  1.61
Au: 0.000 0.000 0.000  0.03


(11)
Below is crystalline Tc2PbO8 at its relaxed geometry, with properties calculated at the PBE level.

Output
Fermi-level density of states in states/eV/f.u.: 0.000
ΔE_f (raw) in eV/f.u.: -14.6
Space group: C2/m
Raw total energy in eV/atom: -7.1574

a b c (Å): 6.237 6.341 6.341
angles (deg): 56.71 74.36 74.36
Atoms (fractional coordinates):
O: 0.794 0.641 0.641
O: 0.789 0.094 0.640
O: 0.206 0.359 0.359
O: 0.789 0.640 0.094
O: 0.211 0.906 0.360
O: 0.391 0.848 0.848
O: 0.211 0.360 0.906
O: 0.609 0.152 0.152
Tc: 0.688 0.803 0.803
Tc: 0.312 0.197 0.197
Pb: 0.000 0.000 0.000


(12)
Below is crystalline LaMgTlCl6 at its relaxed geometry, with properties calculated at the PBE level.

Output
Fermi-level density of states in states/eV/f.u.: 0.000
ΔE_f (raw) in eV/f.u.: -17.2
Space group: P-31c
Raw total energy in eV/atom: -4.1245

a b c (Å): 7.024 7.024 13.855
angles (deg): 90.00 90.00 120.00
Atoms (fractional coordinates):
Cl: 0.643 0.028 0.857
Cl: 0.615 0.972 0.357
Cl: 0.972 0.615 0.857
Cl: 0.643 0.615 0.643
Cl: 0.385 0.357 0.857
Cl: 0.385 0.028 0.643
Cl: 0.357 0.385 0.357
Cl: 0.972 0.357 0.643
Cl: 0.357 0.972 0.143
Cl: 0.615 0.643 0.143
Cl: 0.028 0.643 0.357
Cl: 0.028 0.385 0.143
Tl: 0.000 0.000 0.000
Tl: 0.000 0.000 0.500
La: 0.333 0.667 0.750
La: 0.667 0.333 0.250
Mg: 0.333 0.667 0.250
Mg: 0.667 0.333 0.750